Record 1
A plane-wave DFT calculation with PBE was carried out for a geometry-optimized YFeCoSn structure.

Values from the calculation:
As for the space group: F-43m, No. 216. The crystal system is cubic.

Unit cell a=4.702 b=4.702 c=4.702 alpha=60.00 beta=60.00 gamma=60.00
Sites, in units of the cell vectors:
Y: 0.000 0.000 0.000
Fe: 0.500 0.500 0.500
Co: 0.750 0.750 0.750
Sn: 0.250 0.250 0.250

Record 2
A plane-wave DFT calculation with PBE was carried out for a geometry-optimized TlZnSn2 structure.

Values from the calculation:
As for the space group: F-43m, No. 216. The crystal system is cubic.

Unit cell a=5.301 b=5.301 c=5.301 alpha=60.00 beta=60.00 gamma=60.00
Sites, in units of the cell vectors:
Tl: 0.000 0.000 0.000
Zn: 0.250 0.250 0.250
Sn: 0.500 0.500 0.500
Sn: 0.750 0.750 0.750

Record 3
A plane-wave DFT calculation with PBE was carried out for a geometry-optimized LiLu4NiIr2 structure.

Values from the calculation:
As for the space group: P4/mmm, No. 123. The crystal system is tetragonal.

Unit cell a=4.765 b=4.765 c=6.720 alpha=90.00 beta=90.00 gamma=90.00
Sites, in units of the cell vectors:
Li: 0.000 0.000 0.000
Lu: 0.000 0.500 0.257
Lu: 0.000 0.500 0.743
Lu: 0.500 0.000 0.257
Lu: 0.500 0.000 0.743
Ni: 0.500 0.500 0.500
Ir: 0.000 0.000 0.500
Ir: 0.500 0.500 0.000

Quick rundown of total energy, same order as above: -6.357 -2.778 -6.120 eV per atom